Density functional theory data (GGA-PBE) for an optimized crystal structure of RbHI2O.

* SG: P4/mmm (123)
* calculated total energy: -2.167 eV per atom
* crystal system: tetragonal

Unit cell a=4.6132 b=4.6132 c=7.0989 alpha=90.00 beta=90.00 gamma=90.00
Last column: nearest neighbours and their distance in Å.
Fractional positions:
Rb 0.0000 0.0000 0.0000  4 O 3.26
H 0.5000 0.5000 0.5000  4 I 2.31
I 0.0000 0.5000 0.5000  2 H 2.31
I 0.5000 0.0000 0.5000  2 H 2.31
O 0.5000 0.5000 0.0000  4 Rb 3.26, 2 H 3.55